[1]
InAgHgCl6 | PBE | optimized geometry

Lattice parameters (Å, degrees): 6.7105 6.7105 12.1304 90.00 90.00 120.00
Space group P-31c (No. 163)
Inequivalent atoms, fractional coordinates:
In 0.3333 0.6667 0.2500
Ag 0.0000 0.0000 0.0000
Hg 0.3333 0.6667 0.7500
Cl 0.0174 0.3569 0.1285

Energy relative to the elements, uncorrected: -758 meV per atom
Volume: 26.3 A^3/atom
Size of the total moment: 0.00 μB per formula unit

[2]
Rb2BaTiO4 | PBE | optimized geometry

Lattice parameters (Å, degrees): 7.6014 7.6532 6.3042 90.00 90.00 90.00
Space group Pmn2_1 (No. 31)
Inequivalent atoms, fractional coordinates:
Rb 0.2377 0.1543 0.0000
Ba 0.0000 0.3860 0.4889
Ti 0.0000 0.6726 0.9794
O 0.0000 0.4447 0.0772
O 0.0000 0.6687 0.6884
O 0.2045 0.7860 0.0630

Energy relative to the elements, uncorrected: -2420 meV per atom
Volume: 22.9 A^3/atom
Density of states at the Fermi level: 0.000 states/eV/f.u.
Size of the total moment: 0.00 μB per formula unit

[3]
Sc6Ge2PbS3 | PBE | optimized geometry

Lattice parameters (Å, degrees): 17.0631 3.7941 7.8652 90.00 106.88 90.00
Space group C2/m (No. 12)
Inequivalent atoms, fractional coordinates:
Sc 0.0049 0.0000 0.2220
Sc 0.1695 0.5000 0.0775
Sc 0.1767 0.5000 0.5827
Ge 0.1629 0.0000 0.8236
Pb 0.0000 0.5000 0.5000
S 0.0000 0.5000 0.0000
S 0.1668 0.0000 0.3266

Energy relative to the elements, uncorrected: -1226 meV per atom
Volume: 20.3 A^3/atom
Density of states at the Fermi level: 4.891 states/eV/f.u.
Size of the total moment: 0.00 μB per formula unit

[4]
AlV | PBE | optimized geometry

Lattice parameters (Å, degrees): 2.6674 4.5547 5.0489 90.00 90.00 90.00
Space group Immm (No. 71)
Inequivalent atoms, fractional coordinates:
Al 0.0000 0.0000 0.0000
V 0.0000 0.0000 0.5000

Volume: 15.3 A^3/atom
Density of states at the Fermi level: 1.545 states/eV/f.u.
Size of the total moment: 0.00 μB per formula unit
Formation energy: 0.22 eV per atom

[5]
K2Zn2CdO4 | PBE | optimized geometry

Lattice parameters (Å, degrees): 13.9745 3.4029 6.3089 90.00 107.04 90.00
Space group C2/m (No. 12)
Inequivalent atoms, fractional coordinates:
K 0.1248 0.0000 0.0320
Zn 0.1732 0.5000 0.5039
Cd 0.0000 0.0000 0.5000
O 0.0375 0.5000 0.2919
O 0.2180 0.0000 0.6759

Energy relative to the elements, uncorrected: -1279 meV per atom
Volume: 15.9 A^3/atom
Size of the total moment: 0.00 μB per formula unit

[6]
RbLiSc2 | PBE | optimized geometry

Lattice parameters (Å, degrees): 3.3192 3.3192 39.1890 90.00 90.00 120.00
Space group R-3m (No. 166, hexagonal axes)
Inequivalent atoms, fractional coordinates:
Rb 0.0000 0.0000 0.0000
Li 0.0000 0.0000 0.5000
Sc 0.0000 0.0000 0.4229

Volume: 31.2 A^3/atom
Excess energy over the best structure of this formula in the dataset: 0 meV/atom
Density of states at the Fermi level: 4.554 states/eV/f.u.
Size of the total moment: 0.00 μB per formula unit
Formation energy: 0.66 eV per atom

[7]
TbCe2Tl2 | PBE | optimized geometry

Lattice parameters (Å, degrees): 5.9886 6.1302 8.2538 90.00 109.96 90.00
Space group C2/m (No. 12)
Inequivalent atoms, fractional coordinates:
Tb 0.0000 0.0000 0.0000
Ce 0.0000 0.2243 0.5000
Tl 0.0863 0.5000 0.1876

Volume: 28.5 A^3/atom
Density of states at the Fermi level: 8.152 states/eV/f.u.
Size of the total moment: 0.25 μB per formula unit
Formation energy: -0.11 eV per atom

[8]
AcEu3Cu | PBE | optimized geometry

Lattice parameters (Å, degrees): 5.8089 5.8089 5.8089 90.00 90.00 90.00
Space group Pm-3m (No. 221)
Inequivalent atoms, fractional coordinates:
Ac 0.0000 0.0000 0.0000
Eu 0.0000 0.5000 0.5000
Cu 0.5000 0.5000 0.5000

Volume: 39.2 A^3/atom
Density of states at the Fermi level: 25.501 states/eV/f.u.
Size of the total moment: 22.54 μB per formula unit
Formation energy: 0.07 eV per atom